An optimized crystal structure of RbNiI5, computed with PBE.

Unit cell a=8.650 b=8.682 c=8.159 alpha=90.00 beta=90.00 gamma=90.00
Space group Imm2 (No. 44)
One atom of each set of equivalent atoms:
Rb: 0.000 0.000 0.000
Ni: 0.000 0.500 0.902
I: 0.000 0.296 0.671
I: 0.000 0.500 0.215
I: 0.205 0.000 0.409

## Properties
Fermi-level density of states = 11.11 states/eV/cell
Size of the total moment = 0.00 μB/cell
Electronic total energy = -2.422 eV per atom